[1]
VASP calculation (PBE-GGA) on a relaxed structure of Zr2Ti3Ni4.

Calculated values
N(E_F) ... 9.448 states/eV/f.u.
Size of the total moment ... 0.000 μB/f.u.
Formation enthalpy at 0 K ... -346 meV per atom
Raw total energy ... -134.0 eV for the cell shown

Lattice parameters (Å, degrees): 7.5011 6.0442 6.5938 90.00 109.40 90.00
Closest atoms and distances in Å follow each position.
Fractional positions:
Zr (0.1930, 0.1700, 0.0656)  6 Ni 2.69-2.86
Zr (0.1930, 0.3300, 0.5656)  6 Ni 2.69-2.86
Zr (0.8070, 0.6700, 0.4344)  6 Ni 2.69-2.86
Zr (0.8070, 0.8300, 0.9344)  6 Ni 2.69-2.86
Ti (0.2396, 0.6707, 0.2270)  5 Ni 2.45-2.58
Ti (0.2396, 0.8293, 0.7270)  5 Ni 2.45-2.58
Ti (0.5000, 0.0000, 0.5000)  4 Ni 2.43-2.51
Ti (0.5000, 0.5000, 0.0000)  4 Ni 2.43-2.51
Ti (0.7604, 0.1707, 0.2730)  5 Ni 2.45-2.58
Ti (0.7604, 0.3293, 0.7730)  5 Ni 2.45-2.58
Ni (0.0635, 0.5454, 0.8472)  3 Ti 2.45-2.53, 1 Ni 2.56, 2 Zr 2.69-2.70
Ni (0.0635, 0.9546, 0.3472)  3 Ti 2.45-2.53, 1 Ni 2.56, 2 Zr 2.69-2.70
Ni (0.5000, 0.1263, 0.8625)  1 Ni 2.37, 4 Ti 2.43-2.58
Ni (0.5000, 0.3737, 0.3625)  1 Ni 2.37, 4 Ti 2.43-2.58
Ni (0.5000, 0.6263, 0.6375)  1 Ni 2.37, 4 Ti 2.43-2.58
Ni (0.5000, 0.8737, 0.1375)  1 Ni 2.37, 4 Ti 2.43-2.58
Ni (0.9365, 0.0454, 0.6528)  3 Ti 2.45-2.53, 1 Ni 2.56, 2 Zr 2.69-2.70
Ni (0.9365, 0.4546, 0.1528)  3 Ti 2.45-2.53, 1 Ni 2.56, 2 Zr 2.69-2.70

[2]
VASP calculation (PBE-GGA) on a relaxed structure of ZrTi2Ni.

Calculated values
Energy above the lowest structure with this stoichiometry ... 27 meV/atom
N(E_F) ... 4.604 states/eV/f.u.
Size of the total moment ... 0.000 μB/f.u.
Formation enthalpy at 0 K ... -190 meV per atom
Raw total energy ... -123.5 eV for the cell shown

Lattice parameters (Å, degrees): 7.7066 6.5760 5.4401 90.00 90.00 90.00
Closest atoms and distances in Å follow each position.
Fractional positions:
Zr (0.0269, 0.2500, 0.0996)  1 Ni 2.72, 4 Ti 2.95-2.96
Zr (0.4731, 0.7500, 0.5996)  1 Ni 2.72, 4 Ti 2.95-2.96
Zr (0.5269, 0.2500, 0.4004)  1 Ni 2.72, 4 Ti 2.95-2.96
Zr (0.9731, 0.7500, 0.9004)  1 Ni 2.72, 4 Ti 2.95-2.96
Ti (0.1804, 0.0408, 0.6111)  3 Ni 2.41-2.59
Ti (0.1804, 0.4592, 0.6111)  3 Ni 2.41-2.59
Ti (0.3196, 0.5408, 0.1111)  3 Ni 2.41-2.59
Ti (0.3196, 0.9592, 0.1111)  3 Ni 2.41-2.59
Ti (0.6804, 0.0408, 0.8889)  3 Ni 2.41-2.59
Ti (0.6804, 0.4592, 0.8889)  3 Ni 2.41-2.59
Ti (0.8196, 0.5408, 0.3889)  3 Ni 2.41-2.59
Ti (0.8196, 0.9592, 0.3889)  3 Ni 2.41-2.59
Ni (0.1001, 0.7500, 0.3666)  6 Ti 2.41-2.59
Ni (0.3999, 0.2500, 0.8666)  6 Ti 2.41-2.59
Ni (0.6001, 0.7500, 0.1334)  6 Ti 2.41-2.59
Ni (0.8999, 0.2500, 0.6334)  6 Ti 2.41-2.59

[3]
VASP calculation (PBE-GGA) on a relaxed structure of ZrTi3Ni.

Calculated values
Energy above the lowest structure with this stoichiometry ... 127 meV/atom
N(E_F) ... 7.375 states/eV/f.u.
Size of the total moment ... 0.000 μB/f.u.
Formation enthalpy at 0 K ... 244 meV per atom
Raw total energy ... -73.6 eV for the cell shown

Lattice parameters (Å, degrees): 6.4504 6.4504 6.4504 118.28 90.47 121.20
Closest atoms and distances in Å follow each position.
Fractional positions:
Zr (0.3160, 0.0660, 0.2500)  12 Ti 3.13-3.42
Zr (0.6840, 0.9340, 0.7500)  12 Ti 3.13-3.42
Ti (0.1783, 0.4283, 0.7500)  2 Ni 2.32
Ti (0.2210, 0.0000, 0.7210)  2 Ni 2.31
Ti (0.2210, 0.5000, 0.2210)  2 Ni 2.31
Ti (0.7790, 0.0000, 0.2790)  2 Ni 2.31
Ti (0.7790, 0.5000, 0.7790)  2 Ni 2.31
Ti (0.8217, 0.5717, 0.2500)  2 Ni 2.32
Ni (0.0000, 0.5000, 0.5000)  6 Ti 2.31-2.32
Ni (0.5000, 0.5000, 0.0000)  6 Ti 2.31-2.32

[4]
VASP calculation (PBE-GGA) on a relaxed structure of ZrTi5Ni6.

Calculated values
N(E_F) ... 13.304 states/eV/f.u.
Size of the total moment ... 0.858 μB/f.u.
Formation enthalpy at 0 K ... -356 meV per atom
Raw total energy ... -87.0 eV for the cell shown

Lattice parameters (Å, degrees): 4.1978 6.4264 6.6295 90.00 108.00 90.00
Closest atoms and distances in Å follow each position.
Fractional positions:
Zr (0.0000, 0.0000, 0.0000)  8 Ni 2.76-2.80, 4 Ti 3.03-3.05
Ti (0.0000, 0.5000, 0.0000)  8 Ni 2.53-2.58
Ti (0.3264, 0.0000, 0.6516)  8 Ni 2.65-2.84, 2 Ti 2.82-2.85
Ti (0.3341, 0.5000, 0.6693)  8 Ni 2.51-2.54
Ti (0.6659, 0.5000, 0.3307)  8 Ni 2.51-2.54
Ti (0.6736, 0.0000, 0.3484)  8 Ni 2.65-2.84, 2 Ti 2.82-2.85
Ni (0.1719, 0.2787, 0.3419)  7 Ti 2.51-2.76, 1 Zr 2.80
Ni (0.1719, 0.7213, 0.3419)  7 Ti 2.51-2.76, 1 Zr 2.80
Ni (0.5000, 0.2798, 0.0000)  4 Ti 2.52-2.53, 2 Zr 2.76
Ni (0.5000, 0.7202, 0.0000)  4 Ti 2.52-2.53, 2 Zr 2.76
Ni (0.8281, 0.2787, 0.6581)  7 Ti 2.51-2.76, 1 Zr 2.80
Ni (0.8281, 0.7213, 0.6581)  7 Ti 2.51-2.76, 1 Zr 2.80

[5]
VASP calculation (PBE-GGA) on a relaxed structure of Zr5TiNi6.

Calculated values
N(E_F) ... 11.054 states/eV/f.u.
Size of the total moment ... 0.000 μB/f.u.
Formation enthalpy at 0 K ... -364 meV per atom
Raw total energy ... -89.7 eV for the cell shown

Lattice parameters (Å, degrees): 4.4031 6.6066 7.7211 115.27 106.53 90.00
Closest atoms and distances in Å follow each position.
Fractional positions:
Zr (0.0000, 0.0000, 0.0000)  8 Ni 2.75-2.93, 4 Zr 3.02
Zr (0.3249, 0.3234, 0.6455)  8 Ni 2.65-2.93
Zr (0.3437, 0.8444, 0.6877)  8 Ni 2.83-2.92, 4 Zr 3.02-3.13
Zr (0.6563, 0.1556, 0.3123)  8 Ni 2.83-2.92, 4 Zr 3.02-3.13
Zr (0.6751, 0.6766, 0.3545)  8 Ni 2.65-2.93
Ti (0.0000, 0.5000, 0.0000)  8 Ni 2.49-2.59
Ni (0.1495, 0.4335, 0.3056)  1 Ti 2.49, 3 Zr 2.65-2.75
Ni (0.1496, 0.8709, 0.3058)  1 Ti 2.49, 3 Zr 2.65-2.75
Ni (0.5000, 0.2931, 0.0000)  2 Ti 2.59, 4 Zr 2.72-2.84, 1 Ni 2.73
Ni (0.5000, 0.7069, 0.0000)  2 Ti 2.59, 4 Zr 2.72-2.84, 1 Ni 2.73
Ni (0.8504, 0.1291, 0.6942)  1 Ti 2.49, 3 Zr 2.65-2.75
Ni (0.8505, 0.5665, 0.6944)  1 Ti 2.49, 3 Zr 2.65-2.75

[6]
VASP calculation (PBE-GGA) on a relaxed structure of ZrTi4Ni4.

Calculated values
N(E_F) ... 8.866 states/eV/f.u.
Size of the total moment ... 0.000 μB/f.u.
Formation enthalpy at 0 K ... -192 meV per atom
Raw total energy ... -130.0 eV for the cell shown

Lattice parameters (Å, degrees): 7.8454 7.8454 4.3979 90.00 90.00 90.00
Closest atoms and distances in Å follow each position.
Fractional positions:
Zr (0.2500, 0.2500, 0.2500)  4 Ni 2.56
Zr (0.7500, 0.7500, 0.7500)  4 Ni 2.56
Ti (0.1050, 0.8434, 0.6164)  4 Ni 2.40-2.64
Ti (0.1566, 0.6050, 0.1164)  4 Ni 2.40-2.64
Ti (0.3434, 0.8950, 0.1164)  4 Ni 2.40-2.64
Ti (0.3950, 0.6566, 0.6164)  4 Ni 2.40-2.64
Ti (0.6050, 0.3434, 0.3836)  4 Ni 2.40-2.64
Ti (0.6566, 0.1050, 0.8836)  4 Ni 2.40-2.64
Ti (0.8434, 0.3950, 0.8836)  4 Ni 2.40-2.64
Ti (0.8950, 0.1566, 0.3836)  4 Ni 2.40-2.64
Ni (0.0454, 0.1264, 0.8546)  4 Ti 2.40-2.64, 1 Ni 2.47, 1 Zr 2.56
Ni (0.1264, 0.4546, 0.6454)  4 Ti 2.40-2.64, 1 Ni 2.47, 1 Zr 2.56
Ni (0.3736, 0.0454, 0.6454)  4 Ti 2.40-2.64, 1 Ni 2.47, 1 Zr 2.56
Ni (0.4546, 0.3736, 0.8546)  4 Ti 2.40-2.64, 1 Ni 2.47, 1 Zr 2.56
Ni (0.5454, 0.6264, 0.1454)  4 Ti 2.40-2.64, 1 Ni 2.47, 1 Zr 2.56
Ni (0.6264, 0.9546, 0.3546)  4 Ti 2.40-2.64, 1 Ni 2.47, 1 Zr 2.56
Ni (0.8736, 0.5454, 0.3546)  4 Ti 2.40-2.64, 1 Ni 2.47, 1 Zr 2.56
Ni (0.9546, 0.8736, 0.1454)  4 Ti 2.40-2.64, 1 Ni 2.47, 1 Zr 2.56

[7]
VASP calculation (PBE-GGA) on a relaxed structure of Zr2TiNi9.

Calculated values
N(E_F) ... 3.593 states/eV/f.u.
Size of the total moment ... 0.000 μB/f.u.
Formation enthalpy at 0 K ... -423 meV per atom
Raw total energy ... -82.1 eV for the cell shown

Lattice parameters (Å, degrees): 3.7212 3.7212 11.0590 90.00 90.00 90.00
Closest atoms and distances in Å follow each position.
Fractional positions:
Zr (0.0000, 0.0000, 0.1717)  12 Ni 2.63-2.66
Zr (0.0000, 0.0000, 0.8283)  12 Ni 2.63-2.66
Ti (0.0000, 0.0000, 0.5000)  12 Ni 2.54-2.63
Ni (0.0000, 0.5000, 0.0000)  8 Ni 2.63-2.65, 4 Zr 2.66
Ni (0.0000, 0.5000, 0.3430)  8 Ni 2.54-2.66, 2 Ti 2.54, 2 Zr 2.66
Ni (0.0000, 0.5000, 0.6570)  8 Ni 2.54-2.66, 2 Ti 2.54, 2 Zr 2.66
Ni (0.5000, 0.0000, 0.0000)  8 Ni 2.63-2.65, 4 Zr 2.66
Ni (0.5000, 0.0000, 0.3430)  8 Ni 2.54-2.66, 2 Ti 2.54, 2 Zr 2.66
Ni (0.5000, 0.0000, 0.6570)  8 Ni 2.54-2.66, 2 Ti 2.54, 2 Zr 2.66
Ni (0.5000, 0.5000, 0.1708)  4 Zr 2.63, 8 Ni 2.65-2.66
Ni (0.5000, 0.5000, 0.5000)  8 Ni 2.54, 4 Ti 2.63
Ni (0.5000, 0.5000, 0.8292)  4 Zr 2.63, 8 Ni 2.65-2.66

[8]
VASP calculation (PBE-GGA) on a relaxed structure of Zr2TiNi.

Calculated values
Energy above the lowest structure with this stoichiometry ... 0 meV/atom
N(E_F) ... 4.343 states/eV/f.u.
Size of the total moment ... 0.000 μB/f.u.
Formation enthalpy at 0 K ... -186 meV per atom
Raw total energy ... -31.5 eV for the cell shown

Lattice parameters (Å, degrees): 3.1247 3.1247 7.4924 90.00 90.00 90.00
Closest atoms and distances in Å follow each position.
Fractional positions:
Zr (0.0000, 0.0000, 0.0000)  4 Ni 2.87, 8 Zr 3.12-3.20, 1 Ti 3.15
Zr (0.5000, 0.5000, 0.3088)  4 Ti 3.00, 8 Zr 3.12-3.20, 1 Ni 3.35
Ti (0.0000, 0.0000, 0.5794)  4 Ni 2.58
Ni (0.5000, 0.5000, 0.7563)  4 Ti 2.58, 4 Zr 2.87

[9]
VASP calculation (PBE-GGA) on a relaxed structure of TlNi.

Calculated values
N(E_F) ... 1.266 states/eV/f.u.
Size of the total moment ... 0.000 μB/f.u.
Formation enthalpy at 0 K ... 291 meV per atom
Raw total energy ... -15.1 eV for the cell shown

Lattice parameters (Å, degrees): 5.0291 5.0291 5.0291 135.63 95.61 100.80
Closest atoms and distances in Å follow each position.
Fractional positions:
Tl (0.0000, 0.0000, 0.0000)  6 Ni 2.69-2.87
Tl (0.5000, 0.0000, 0.5000)  6 Ni 2.69-2.87
Ni (0.3889, 0.6389, 0.7500)  2 Ni 2.37
Ni (0.6111, 0.3611, 0.2500)  2 Ni 2.37

[10]
VASP calculation (PBE-GGA) on a relaxed structure of TlNi.

Calculated values
N(E_F) ... 1.233 states/eV/f.u.
Size of the total moment ... 0.000 μB/f.u.
Formation enthalpy at 0 K ... 423 meV per atom
Raw total energy ... -29.2 eV for the cell shown

Lattice parameters (Å, degrees): 5.3160 5.3160 5.3098 90.00 90.00 90.00
Closest atoms and distances in Å follow each position.
Fractional positions:
Tl (0.2078, 0.2078, 0.0000)  6 Ni 2.64-2.78
Tl (0.2922, 0.7078, 0.5000)  6 Ni 2.64-2.78
Tl (0.7078, 0.2922, 0.5000)  6 Ni 2.64-2.78
Tl (0.7922, 0.7922, 0.0000)  6 Ni 2.64-2.78
Ni (0.1940, 0.1940, 0.5000)  6 Tl 2.64-2.78, 1 Ni 2.92
Ni (0.3060, 0.6940, 0.0000)  6 Tl 2.64-2.78, 1 Ni 2.92
Ni (0.6940, 0.3060, 0.0000)  6 Tl 2.64-2.78, 1 Ni 2.92
Ni (0.8060, 0.8060, 0.5000)  6 Tl 2.64-2.78, 1 Ni 2.92

[11]
VASP calculation (PBE-GGA) on a relaxed structure of TlNi.

Calculated values
N(E_F) ... 1.652 states/eV/f.u.
Size of the total moment ... 0.000 μB/f.u.
Formation enthalpy at 0 K ... 401 meV per atom
Raw total energy ... -14.7 eV for the cell shown

Lattice parameters (Å, degrees): 3.6353 3.6353 7.2167 90.00 90.00 120.00
Closest atoms and distances in Å follow each position.
Fractional positions:
Tl (0.3333, 0.6667, 0.1861)  4 Ni 2.71-2.81
Tl (0.6667, 0.3333, 0.8139)  4 Ni 2.71-2.81
Ni (0.3333, 0.6667, 0.5758)  3 Ni 2.37
Ni (0.6667, 0.3333, 0.4242)  3 Ni 2.37

[12]
VASP calculation (PBE-GGA) on a relaxed structure of TlNi.

Calculated values
N(E_F) ... 1.182 states/eV/f.u.
Size of the total moment ... 0.000 μB/f.u.
Formation enthalpy at 0 K ... 759 meV per atom
Raw total energy ... -6.6 eV for the cell shown

Lattice parameters (Å, degrees): 4.1848 4.1848 4.1848 60.00 60.00 60.00
Closest atoms and distances in Å follow each position.
Fractional positions:
Tl (0.0000, 0.0000, 0.0000)  4 Ni 2.56
Ni (0.2500, 0.2500, 0.2500)  4 Tl 2.56